(1)
Computed, not measured: an optimized crystal structure of Nd8Ni2Pd at the PBE level of DFT.

extended XYZ file:
```
11
Lattice="9.209 -2.606 0.000 9.209 2.606 0.000 -2.098 0.000 6.404" Properties=species:S:1:pos:R:3 pbc="T T T"
Nd 0.001 0.000 1.873
Nd 1.865 0.000 5.460
Nd 4.885 0.000 3.165
Nd 7.439 0.000 0.200
Nd 8.881 0.000 6.203
Nd 11.435 0.000 3.239
Nd 14.455 0.000 0.944
Nd 16.319 0.000 4.531
Ni 2.662 0.000 1.555
Ni 13.658 0.000 4.849
Pd 8.160 0.000 3.202
```

calculated formation energy	-0.226	eV/atom
offset from the most stable computed form	0.000	eV/atom


(2)
Computed, not measured: an optimized crystal structure of Cr2CuAg at the PBE level of DFT.

extended XYZ file:
```
4
Lattice="3.722 0.000 0.000 0.000 3.756 0.000 0.000 0.000 4.137" Properties=species:S:1:pos:R:3 pbc="T T T"
Cr 0.000 0.000 0.000
Cr 1.861 1.878 0.000
Cu 0.000 1.878 2.068
Ag 1.861 0.000 2.068
```

calculated formation energy	0.302	eV/atom
offset from the most stable computed form	0.015	eV/atom


(3)
Computed, not measured: an optimized crystal structure of Li2NbPt8 at the PBE level of DFT.

extended XYZ file:
```
11
Lattice="-2.012 3.405 6.110 2.012 -3.405 6.110 2.012 3.405 -6.110" Properties=species:S:1:pos:R:3 pbc="T T T"
Li 0.000 0.000 2.383
Li 0.000 0.000 9.837
Nb 0.000 0.000 6.110
Pt 2.012 1.457 -1.941
Pt 0.000 1.363 0.000
Pt 2.012 0.000 4.255
Pt 2.012 1.457 1.941
Pt 0.000 1.949 4.169
Pt 0.000 3.405 1.855
Pt 0.000 5.448 0.000
Pt 0.000 1.949 8.051
```

calculated formation energy	-0.406	eV/atom


(4)
Computed, not measured: an optimized crystal structure of NaFe3N at the PBE level of DFT.

extended XYZ file:
```
5
Lattice="4.423 0.000 0.000 0.000 4.423 0.000 0.000 0.000 4.423" Properties=species:S:1:pos:R:3 pbc="T T T"
Na 0.000 0.000 0.000
Fe 0.000 0.000 2.211
Fe 0.000 2.211 0.000
Fe 2.211 0.000 0.000
N 2.211 2.211 2.211
```

offset from the most stable computed form	2.578	eV/atom